The following is a DFT calculation (PBE) of CsTmZr after structural relaxation.

a b c (Å): 5.779 5.779 5.779
angles (deg): 60.00 60.00 60.00
Sites, in units of the cell vectors:
Tm: 0.000 0.000 0.000
Zr: 0.750 0.750 0.750
Cs: 0.250 0.250 0.250

Values from the calculation:
V = 45.49 Å³ per atom
total DFT energy (no corrections) = -9.15 eV/cell
crystal system = cubic


The following is a DFT calculation (PBE) of CsUW after structural relaxation.

a b c (Å): 4.963 4.963 4.963
angles (deg): 60.00 60.00 60.00
Last column: magnetic moment on the atom in μB.
Sites, in units of the cell vectors:
W: 0.000 0.000 0.000  -0.65
Cs: 0.750 0.750 0.750  -0.03
U: 0.250 0.250 0.250  1.75

Values from the calculation:
V = 28.81 Å³ per atom
total DFT energy (no corrections) = -18.19 eV/cell
crystal system = cubic


The following is a DFT calculation (PBE) of CsUW after structural relaxation.

a b c (Å): 4.818 4.818 4.818
angles (deg): 60.00 60.00 60.00
Last column: magnetic moment on the atom in μB.
Sites, in units of the cell vectors:
W: 0.750 0.750 0.750  -0.35
U: 0.250 0.250 0.250  2.29
Cs: 0.000 0.000 0.000  0.05

Values from the calculation:
V = 26.36 Å³ per atom
total DFT energy (no corrections) = -16.39 eV/cell
crystal system = cubic


The highest total DFT energy (no corrections) belongs to which entry? CsTmZr


Look up the V of the second one. 28.81 Å³ per atom